# AgPb2Au (SCAN, single point on PBEsol structure)
# E = -755.182 eV for the cell shown
# Calculated density = 12791 kg/m³
data_AgPb2Au
_chemical_formula_sum 'Ag3 Pb6 Au3'
_cell_length_a 3.5356
_cell_length_b 3.5356
_cell_length_c 25.8735
_cell_angle_alpha 90.00
_cell_angle_beta 90.00
_cell_angle_gamma 120.00
_symmetry_space_group_name_H-M 'R -3 m'
_symmetry_Int_Tables_number 166
_symmetry_space_group_name_Hall '-R 3 2"'
loop_
_atom_site_label
_atom_site_type_symbol
_atom_site_fract_x
_atom_site_fract_y
_atom_site_fract_z
Ag1 Ag 0.0000 0.0000 0.0000
Pb1 Pb 0.0000 0.0000 0.2482
Au1 Au 0.0000 0.0000 0.5000